A relaxed YHf2Co9 crystal, computed with PBE-GGA.

Values from the calculation:
Electronic total energy in eV per atom: -7.796
ρ in kg/m³: 9943
Symmetry: R-3m (166)

Unit cell a=8.3900 b=8.3900 c=8.3900 alpha=33.82 beta=33.82 gamma=33.82
Positions (direct):
Y: 0.0000 0.0000 0.0000
Hf: 0.1401 0.1401 0.1401
Hf: 0.8599 0.8599 0.8599
Co: 0.0780 0.5882 0.5882
Co: 0.3357 0.3357 0.3357
Co: 0.4118 0.4118 0.9220
Co: 0.4118 0.9220 0.4118
Co: 0.5000 0.5000 0.5000
Co: 0.5882 0.0780 0.5882
Co: 0.5882 0.5882 0.0780
Co: 0.6643 0.6643 0.6643
Co: 0.9220 0.4118 0.4118